No. 1
LiRe2Si after structural relaxation, computed with PBE-GGA.

## Properties
energy relative to the elements, uncorrected: 0.2038 eV per atom
total magnetic moment: 0.000 μB/atom
E: -31.418 eV for the cell shown

```
LiRe2Si
1.0
2.690 0.001 0.000
-0.980 2.505 0.000
0.000 0.000 8.518
Li Re Si
1 2 1
Direct
0.500 0.500 0.750
0.000 0.000 0.020
0.000 0.000 0.480
0.500 0.500 0.250
```



No. 2
LiRe2Si after structural relaxation, computed with PBE-GGA.

## Properties
energy relative to the elements, uncorrected: 0.1690 eV per atom
total magnetic moment: 0.000 μB/atom
E: -31.557 eV for the cell shown

```
LiRe2Si
1.0
-1.791 -2.135 -1.302
2.314 0.248 -3.589
2.506 -2.962 1.411
Li Re Si
1 2 1
Direct
0.000 0.500 0.500
0.000 0.000 0.000
0.500 0.500 0.000
0.500 0.000 0.500
```



No. 3
LiRe2Si after structural relaxation, computed with PBE-GGA.

## Properties
energy relative to the elements, uncorrected: -0.0612 eV per atom
total magnetic moment: 0.000 μB/atom
E: -32.478 eV for the cell shown

```
LiRe2Si
1.0
3.020 0.000 0.000
0.000 3.020 0.000
0.000 0.000 5.772
Li Re Si
1 2 1
Direct
0.500 0.500 0.738
0.000 0.000 0.986
0.500 0.500 0.254
0.000 0.000 0.523
```



No. 4
LiReSi after structural relaxation, computed with PBE-GGA.

## Properties
energy relative to the elements, uncorrected: -0.0737 eV per atom
total magnetic moment: 0.000 μB/atom
E: -40.012 eV for the cell shown
polymorph energy (0 for the lowest one): 0.00 eV/f.u.

```
LiReSi
1.0
3.796 0.000 0.000
0.000 3.796 0.000
0.000 0.000 6.725
Li Si Re
2 2 2
Direct
0.000 0.500 0.852
0.500 0.000 0.148
0.000 0.500 0.250
0.500 0.000 0.750
0.500 0.500 0.500
0.000 0.000 0.500
```



No. 5
LiReSi after structural relaxation, computed with PBE-GGA.

## Properties
energy relative to the elements, uncorrected: 0.1359 eV per atom
total magnetic moment: 0.000 μB/atom
E: -19.377 eV for the cell shown
polymorph energy (0 for the lowest one): 0.63 eV/f.u.

```
LiReSi
1.0
-0.627 -0.453 -2.741
-1.800 -0.857 2.034
-2.976 5.648 -0.253
Li Re Si
1 1 1
Direct
0.000 0.000 0.993
0.667 0.333 0.359
0.333 0.667 0.647
```



No. 6
LiRe2Si after structural relaxation, computed with PBE-GGA.

## Properties
energy relative to the elements, uncorrected: 0.2327 eV per atom
total magnetic moment: 0.000 μB/atom
E: -31.302 eV for the cell shown

```
LiRe2Si
1.0
4.701 -0.009 0.000
1.750 4.363 0.000
-3.225 -2.177 2.637
Li Re Si
1 2 1
Direct
0.750 0.250 0.500
0.000 0.000 0.000
0.500 0.500 0.000
0.250 0.750 0.500
```



No. 7
LiRe4Si after structural relaxation, computed with PBE-GGA.

## Properties
energy relative to the elements, uncorrected: 0.6030 eV per atom
total magnetic moment: 0.000 μB/atom
E: -53.511 eV for the cell shown

```
LiRe4Si
1.0
4.123 -0.766 3.003
-0.316 0.847 5.078
0.093 -3.973 3.288
Li Re Si
1 4 1
Direct
0.000 0.000 0.000
0.876 0.375 0.375
0.375 0.375 0.876
0.375 0.876 0.375
0.375 0.375 0.375
0.750 0.750 0.750
```



No. 8
LiReSi after structural relaxation, computed with PBE-GGA.

## Properties
energy relative to the elements, uncorrected: 0.5783 eV per atom
total magnetic moment: 0.001 μB/atom
E: -18.050 eV for the cell shown
polymorph energy (0 for the lowest one): 1.96 eV/f.u.

```
LiReSi
1.0
4.047 0.000 0.000
2.024 3.505 0.000
2.024 1.168 3.304
Li Re Si
1 1 1
Direct
0.500 0.500 0.500
0.750 0.750 0.750
0.000 0.000 0.000
```



Question: E of number 5 (LiReSi)?
Answer: -19.377 eV for the cell shown